Here is an optimized crystal structure of Ba2CuNi from Alexandria via LeMat-Bulk. Energies are from GGA-PBEsol.

CIF file:
```
data_Ba2CuNi
_cell_length_a 4.4218
_cell_length_b 4.4218
_cell_length_c 22.1650
_cell_angle_alpha 90.00
_cell_angle_beta 90.00
_cell_angle_gamma 120.00
_symmetry_space_group_name_H-M 'R -3 m'
_symmetry_Int_Tables_number 166
_symmetry_space_group_name_Hall '-R 3 2"'
loop_
_atom_site_label
_atom_site_type_symbol
_atom_site_fract_x
_atom_site_fract_y
_atom_site_fract_z
Ba1 Ba 0.0000 0.0000 0.2441
Cu1 Cu 0.0000 0.0000 0.0000
Ni1 Ni 0.0000 0.0000 0.5000
```

Calculated values
Energy = -3.403 eV per atom
Formation energy = 0.29 eV/atom
Fermi-level density of states = 2.15 states/eV/f.u.